Here is a geometry-optimized LiSnPd2 structure from OQMD via LeMat-Bulk. Energies are from PBE.

The calculation puts the raw total energy at -4.585 eV per atom.

The structure belongs to space group F-43m (No. 216); the cell edges are 6.3649, 6.3649 and 6.3649 Å and the angles 90.00°, 90.00° and 90.00°. The asymmetric unit holds Li at (0.0000, 0.0000, 0.0000), Sn at (0.2500, 0.2500, 0.7500), Pd at (0.0000, 0.0000, 0.5000) and Pd at (0.2500, 0.2500, 0.2500).

***

Here is a geometry-optimized LiSnPd2 structure from OQMD via LeMat-Bulk. Energies are from PBE.

The calculation puts the raw total energy at -4.630 eV per atom.

The structure belongs to space group P6_3/mmc (No. 194); the cell edges are 4.3445, 4.3445 and 8.2766 Å and the angles 90.00°, 90.00° and 120.00°. The asymmetric unit holds Li at (0.0000, 0.0000, 0.0000), Sn at (0.3333, 0.6667, 0.2500) and Pd at (0.3333, 0.6667, 0.5858).

***

Here is a geometry-optimized LiSnPd2 structure from OQMD via LeMat-Bulk. Energies are from PBE.

The calculation puts the raw total energy at -4.675 eV per atom.

The structure belongs to space group P4/mmm (No. 123); the cell edges are 4.1618, 4.1618 and 3.7085 Å and the angles 90.00°, 90.00° and 90.00°. The asymmetric unit holds Li at (0.0000, 0.0000, 0.0000), Sn at (0.5000, 0.5000, 0.0000) and Pd at (0.0000, 0.5000, 0.5000).

***

Here is a geometry-optimized LiSnPd4 structure from OQMD via LeMat-Bulk. Energies are from PBE.

The calculation puts the raw total energy at -4.941 eV per atom.

The structure belongs to space group Cmmm (No. 65); the cell edges are 4.1524, 10.8817 and 4.1520 Å and the angles 90.00°, 90.00° and 90.00°. The asymmetric unit holds Li at (0.0000, 0.0000, 0.0000), Sn at (0.0000, 0.5000, 0.5000), Pd at (0.0000, 0.1611, 0.5000) and Pd at (0.0000, 0.3401, 0.0000).

***

Question: Which formula does entry 2 have?
Answer: LiSnPd2